Density functional theory data (PBE-GGA) for a geometry-optimized BaAcSn structure.

abc: 5.283 5.283 9.215
angles: 90.00 90.00 90.00
Atoms (fractional coordinates):
Ba1 0.000 0.500 0.862
Ba2 0.500 0.000 0.138
Ac1 0.500 0.500 0.500
Ac2 0.000 0.000 0.500
Sn1 0.000 0.500 0.252
Sn2 0.500 0.000 0.748

Formation energy from the elements: -0.51 eV per atom
Total energy: -3.86 eV/atom
SG: No. 129
Offset from the most stable computed form: 22.1 meV/atom
Size of the total moment: 0.8 μB/f.u.


Density functional theory data (PBE-GGA) for a geometry-optimized PaBeGa2Co4 structure.

abc: 3.936 3.936 8.100
angles: 75.94 75.94 60.00
Atoms (fractional coordinates):
Pa1 0.000 0.000 0.000
Be1 0.500 0.500 0.500
Ga1 0.764 0.764 0.707
Ga2 0.236 0.236 0.293
Co1 0.401 0.401 0.798
Co2 0.868 0.868 0.397
Co3 0.132 0.132 0.603
Co4 0.599 0.599 0.202

Formation energy from the elements: -0.31 eV per atom
Total energy: -6.28 eV/atom
SG: No. 166
Size of the total moment: 0.0 μB/f.u.


Density functional theory data (PBE-GGA) for a geometry-optimized LiSmGePt structure.

abc: 4.688 4.688 4.688
angles: 60.00 60.00 60.00
Atoms (fractional coordinates):
Ge1 0.000 0.000 0.000
Sm1 0.500 0.500 0.500
Pt1 0.250 0.250 0.250
Li1 0.750 0.750 0.750

Formation energy from the elements: -0.79 eV per atom
Total energy: -5.12 eV/atom
SG: No. 216
Size of the total moment: 0.0 μB/f.u.


Density functional theory data (PBE-GGA) for a geometry-optimized ErSi2Ni9 structure.

abc: 6.151 7.557 7.557
angles: 80.47 65.98 65.98
Atoms (fractional coordinates):
Er1 0.500 0.000 0.000
Er2 0.250 0.500 0.500
Si1 0.875 0.250 0.750
Si2 0.875 0.750 0.250
Si3 0.875 0.250 0.250
Si4 0.375 0.750 0.750
Ni1 0.750 0.500 0.500
Ni2 0.000 0.000 0.000
Ni3 0.012 0.922 0.674
Ni4 0.607 0.078 0.326
Ni5 0.683 0.174 0.578
Ni6 0.436 0.826 0.422
Ni7 0.738 0.826 0.578
Ni8 0.143 0.174 0.422
Ni9 0.067 0.922 0.326
Ni10 0.314 0.078 0.674
Ni11 0.738 0.578 0.826
Ni12 0.143 0.422 0.174
Ni13 0.067 0.326 0.922
Ni14 0.314 0.674 0.078
Ni15 0.012 0.674 0.922
Ni16 0.607 0.326 0.078
Ni17 0.683 0.578 0.174
Ni18 0.436 0.422 0.826

Total energy: -6.11 eV/atom
SG: No. 141
Raw formation energy: -487 meV per atom
Size of the total moment: 0.0 μB/f.u.


Density functional theory data (PBE-GGA) for a geometry-optimized MnGa2Pb2 structure.

abc: 3.537 3.537 9.399
angles: 79.16 79.16 90.00
Atoms (fractional coordinates):
Pb1 0.412 0.412 0.176
Pb2 0.588 0.588 0.824
Mn1 0.000 0.000 0.000
Ga1 0.750 0.250 0.500
Ga2 0.250 0.750 0.500

Formation energy from the elements: 0.56 eV per atom
Total energy: -3.96 eV/atom
SG: No. 139
Offset from the most stable computed form: 176.8 meV/atom
Size of the total moment: 0.0 μB/f.u.


Density functional theory data (PBE-GGA) for a geometry-optimized BaY2Si structure.

abc: 4.949 4.951 4.695
angles: 90.00 90.00 90.00
Atoms (fractional coordinates):
Ba1 0.500 0.000 0.500
Si1 0.000 0.500 0.500
Y1 0.000 0.000 0.000
Y2 0.500 0.500 0.000

Total energy: -5.02 eV/atom
SG: No. 123
Raw formation energy: 50 meV per atom
Size of the total moment: 0.0 μB/f.u.


Density functional theory data (PBE-GGA) for a geometry-optimized MnGaB3 structure.

abc: 3.808 3.808 3.808
angles: 90.00 90.00 90.00
Atoms (fractional coordinates):
B1 0.000 0.500 0.000
B2 0.000 0.000 0.500
B3 0.500 0.000 0.000
Mn1 0.000 0.000 0.000
Ga1 0.500 0.500 0.500

Formation energy from the elements: 0.93 eV per atom
Total energy: -5.52 eV/atom
SG: No. 221
Offset from the most stable computed form: 0.0 meV/atom
Size of the total moment: 0.0 μB/f.u.


Density functional theory data (PBE-GGA) for a geometry-optimized MgHIr2 structure.

abc: 4.162 4.162 4.162
angles: 60.00 60.00 60.00
Atoms (fractional coordinates):
H1 0.000 0.000 0.000
Mg1 0.500 0.500 0.500
Ir1 0.250 0.250 0.250
Ir2 0.750 0.750 0.750

Total energy: -5.01 eV/atom
SG: No. 225
Offset from the most stable computed form: 790.4 meV/atom
Size of the total moment: 0.0 μB/f.u.